A plane-wave DFT calculation with PBE-GGA was carried out for crystalline ScBeSb2Te at its relaxed geometry.

Lattice parameters (Å, degrees): 5.4846 5.4846 5.4551 90.00 90.00 90.00
Last column: nearest neighbours and their distance in Å.
Positions (direct):
Te (0.0000, 0.0000, 0.5000)  2 Sc 2.73
Sb (0.5000, 0.0000, 0.0000)  2 Sc 2.74
Sb (0.0000, 0.5000, 0.0000)  2 Sc 2.74
Sc (0.0000, 0.0000, 0.0000)  2 Te 2.73, 4 Sb 2.74
Be (0.5000, 0.5000, 0.5000)  8 Sb 3.87, 4 Te 3.88

Space-group type   No. 123
Offset from the most stable computed form   427 meV per atom
Total magnetization   0.000 μB per atom

---

A plane-wave DFT calculation with PBE-GGA was carried out for crystalline GaIrPt2O at its relaxed geometry.

Lattice parameters (Å, degrees): 4.6359 4.6491 4.6359 90.00 90.00 90.00
Last column: nearest neighbours and their distance in Å.
Positions (direct):
Pt (0.5000, 0.0000, 0.0000)  2 Ga 2.32
Pt (0.0000, 0.0000, 0.5000)  2 Ga 2.32
Ga (0.0000, 0.0000, 0.0000)  4 Pt 2.32, 2 Ir 2.32
Ir (0.0000, 0.5000, 0.0000)  2 Ga 2.32
O (0.5000, 0.5000, 0.5000)  4 Ir 3.28, 8 Pt 3.28

Space-group type   No. 123
Calculated total energy   -21.3 eV per cell
Total magnetization   0.592 μB per atom

---

A plane-wave DFT calculation with PBE-GGA was carried out for crystalline SrIn3 at its relaxed geometry.

Lattice parameters (Å, degrees): 6.2553 6.2553 6.2553 90.00 90.00 90.00
Last column: nearest neighbours and their distance in Å.
Positions (direct):
In (0.5000, 0.0000, 0.2500)  2 In 3.13, 4 Sr 3.50
In (0.0000, 0.2500, 0.5000)  2 In 3.13, 4 Sr 3.50
In (0.7500, 0.5000, 0.0000)  2 In 3.13, 4 Sr 3.50
In (0.0000, 0.7500, 0.5000)  2 In 3.13, 4 Sr 3.50
In (0.5000, 0.0000, 0.7500)  2 In 3.13, 4 Sr 3.50
In (0.2500, 0.5000, 0.0000)  2 In 3.13, 4 Sr 3.50
Sr (0.0000, 0.0000, 0.0000)  12 In 3.50
Sr (0.5000, 0.5000, 0.5000)  12 In 3.50

Energy of formation from the pure elements   -172 meV per atom
Space-group type   No. 223
Total magnetization   0.000 μB per atom

---

A plane-wave DFT calculation with PBE-GGA was carried out for crystalline Mg2CuSe at its relaxed geometry.

Lattice parameters (Å, degrees): 3.8649 3.8649 12.4873 90.00 90.00 120.00
Last column: nearest neighbours and their distance in Å.
Positions (direct):
Mg (0.6667, 0.3333, 0.6194)  3 Cu 2.68, 3 Se 2.76
Mg (0.3333, 0.6667, 0.1194)  3 Cu 2.68, 3 Se 2.76
Mg (0.6667, 0.3333, 0.8806)  3 Cu 2.68, 3 Se 2.76
Mg (0.3333, 0.6667, 0.3806)  3 Cu 2.68, 3 Se 2.76
Cu (0.0000, 0.0000, 0.5000)  6 Mg 2.68
Cu (0.0000, 0.0000, 0.0000)  6 Mg 2.68
Se (0.6667, 0.3333, 0.2500)  6 Mg 2.76
Se (0.3333, 0.6667, 0.7500)  6 Mg 2.76

Space-group type   No. 194
Calculated total energy   -24.5 eV per cell
Total magnetization   0.000 μB per atom